Compound: ZnIn2Au6
Source: Alexandria
Functional: PBE
Structure: optimized geometry

abc: 8.752 8.752 4.367
angles: 90.00 90.00 90.00
Fractional coordinates of all 18 atoms:
Zn 0.000 0.000 0.000
Zn 0.500 0.500 0.500
In 0.191 0.191 0.500
In 0.309 0.691 0.000
In 0.691 0.309 0.000
In 0.809 0.809 0.500
Au 0.019 0.329 0.000
Au 0.137 0.863 0.500
Au 0.171 0.519 0.500
Au 0.329 0.019 0.000
Au 0.363 0.363 0.000
Au 0.481 0.829 0.500
Au 0.519 0.171 0.500
Au 0.637 0.637 0.000
Au 0.671 0.981 0.000
Au 0.829 0.481 0.500
Au 0.863 0.137 0.500
Au 0.981 0.671 0.000

**Formation energy from the elements**: -1.07 eV per formula unit
**DFT total energy**: -3.053 eV per atom
**Symmetry**: P4_2/mnm, No. 136